TaNiP2O: optimized geometry, PBE with a Hubbard U.

It has space group P4/mmm (No. 123), with a = 4.4762 Å, b = 4.4762 Å, c = 3.4719 Å, α = 90.00°, β = 90.00° and γ = 90.00°. The asymmetric unit holds Ta at (0.0000, 0.0000, 0.0000), Ni at (0.5000, 0.5000, 0.5000), P at (0.0000, 0.5000, 0.5000) and O at (0.5000, 0.5000, 0.0000).

The calculated volume comes out at 69.6 Å³/cell. The calculation puts the polymorph energy (0 for the lowest one) at 454 meV/atom. As for the total magnetic moment: 0.30 μB per formula unit. Its total energy is -5.6736 eV/atom.